No. 1
! Pm2AuBr, optimized geometry, DFT GGA-PBE; values from VASP
&SYSTEM
  ibrav = 0, nat = 4, ntyp = 3
/
ATOMIC_SPECIES
Pm 145.00 Pm.upf
Au 196.97 Au.upf
Br 79.90 Br.upf
CELL_PARAMETERS angstrom
2.069 1.195 7.996
-2.069 1.195 7.996
0.000 -2.390 7.996
ATOMIC_POSITIONS angstrom
Pm 0.000 0.000 0.000
Pm 0.000 0.000 4.550
Au 0.000 0.000 14.249
Br 0.000 0.000 18.309
! D(E_F) = 0.464 states/eV per atom
! Uncorrected energy = -18.21 eV per cell



No. 2
! Pm7AuBr12, optimized geometry, DFT GGA-PBE; values from VASP
&SYSTEM
  ibrav = 0, nat = 20, ntyp = 3
/
ATOMIC_SPECIES
Pm 145.00 Pm.upf
Au 196.97 Au.upf
Br 79.90 Br.upf
CELL_PARAMETERS angstrom
7.705 4.448 3.327
-7.705 4.448 3.327
0.000 -8.897 3.327
ATOMIC_POSITIONS angstrom
Pm 0.000 0.000 0.000
Pm -2.248 -0.597 3.313
Pm 1.640 -1.648 3.313
Pm 0.607 2.245 3.313
Pm -0.607 -2.245 6.669
Pm -1.640 1.648 6.669
Pm 2.248 0.597 6.669
Au 0.000 0.000 4.991
Br -0.660 -2.457 1.545
Br -1.798 1.801 1.545
Br -2.960 -2.992 4.949
Br -4.071 1.067 5.033
Br 2.458 0.657 1.545
Br 1.111 -4.059 5.033
Br -1.111 4.059 4.949
Br -2.458 -0.657 8.437
Br 4.071 -1.067 4.949
Br 2.960 2.992 5.033
Br 1.798 -1.801 8.437
Br 0.660 2.457 8.437
! D(E_F) = 0.466 states/eV per atom
! Uncorrected energy = -88.49 eV per cell



No. 3
! PmAu2Br8, optimized geometry, DFT GGA-PBE; values from VASP
&SYSTEM
  ibrav = 0, nat = 11, ntyp = 3
/
ATOMIC_SPECIES
Pm 145.00 Pm.upf
Au 196.97 Au.upf
Br 79.90 Br.upf
CELL_PARAMETERS angstrom
5.766 -5.646 0.000
5.766 5.646 0.000
-2.288 0.000 6.722
ATOMIC_POSITIONS angstrom
Pm 0.000 0.000 0.000
Au 0.285 0.000 4.132
Au 8.959 0.000 2.590
Br 4.219 3.611 1.323
Br 1.922 0.000 2.227
Br 5.025 3.611 5.398
Br 2.515 0.000 5.991
Br 6.729 0.000 0.731
Br 4.219 -3.611 1.323
Br 7.322 0.000 4.495
Br 5.025 -3.611 5.398
! D(E_F) = 1.203 states/eV per atom
! Uncorrected energy = -31.66 eV per cell



No. 4
! Pm4RhAuBr2, optimized geometry, DFT GGA-PBE; values from VASP
&SYSTEM
  ibrav = 0, nat = 8, ntyp = 4
/
ATOMIC_SPECIES
Pm 145.00 Pm.upf
Rh 102.91 Rh.upf
Au 196.97 Au.upf
Br 79.90 Br.upf
CELL_PARAMETERS angstrom
7.336 0.000 0.000
0.000 4.164 0.000
-2.498 0.000 7.701
ATOMIC_POSITIONS angstrom
Pm 1.179 0.000 1.535
Pm -0.213 2.082 6.132
Pm 5.051 2.082 1.569
Pm 3.659 0.000 6.166
Rh 0.000 2.082 0.000
Au 3.668 0.000 0.000
Br -1.249 0.000 3.850
Br 2.419 2.082 3.850
! D(E_F) = 0.851 states/eV per atom
! Uncorrected energy = -41.13 eV per cell